# PrDy2ScTl4 (PBE, optimized geometry)
# Total magnetic moment (μB/cell): 0.0
# ΔH_f (0 K) (eV/atom): -0.3147
# Space group: No. 166
# Total DFT energy (no corrections) (eV/atom): -4.04
data_PrDy2ScTl4
_chemical_formula_sum 'Pr1 Dy2 Sc1 Tl4'
_cell_length_a 5.3470
_cell_length_b 5.3470
_cell_length_c 9.3366
_cell_angle_alpha 73.36
_cell_angle_beta 73.36
_cell_angle_gamma 60.00
_symmetry_space_group_name_H-M 'P 1'
_symmetry_Int_Tables_number 1
_symmetry_space_group_name_Hall 'P 1'
loop_
_atom_site_label
_atom_site_fract_x
_atom_site_fract_y
_atom_site_fract_z
_atom_site_occupancy
Dy1 0.7517 0.7517 0.7448 1
Tl1 0.8720 0.8720 0.3840 1
Dy2 0.2483 0.2483 0.2552 1
Sc1 0.5000 0.5000 0.5000 1
Tl2 0.6213 0.6213 0.1362 1
Tl3 0.3787 0.3787 0.8638 1
Tl4 0.1280 0.1280 0.6160 1
Pr1 0.0000 0.0000 0.0000 1


# Mg2SnW4 (PBE, optimized geometry)
# Total magnetic moment (μB/cell): 4.2
# ΔH_f (0 K) (eV/atom): 2.4877
# Space group: No. 139
# Total DFT energy (no corrections) (eV/atom): -5.94
data_Mg2SnW4
_chemical_formula_sum 'Mg2 Sn1 W4'
_cell_length_a 4.8931
_cell_length_b 4.8931
_cell_length_c 7.7798
_cell_angle_alpha 71.67
_cell_angle_beta 71.67
_cell_angle_gamma 90.00
_symmetry_space_group_name_H-M 'P 1'
_symmetry_Int_Tables_number 1
_symmetry_space_group_name_Hall 'P 1'
loop_
_atom_site_label
_atom_site_fract_x
_atom_site_fract_y
_atom_site_fract_z
_atom_site_occupancy
Mg1 0.3846 0.3846 0.2308 1
W1 0.5000 0.0000 0.0000 1
W2 0.1848 0.1848 0.6304 1
W3 0.0000 0.5000 0.0000 1
Sn1 0.0000 0.0000 0.0000 1
W4 0.8152 0.8152 0.3696 1
Mg2 0.6154 0.6154 0.7692 1


# Cs4H2Au (PBE, optimized geometry)
# Energy relative to the lowest polymorph listed for this composition (meV per atom): 0
# Total magnetic moment (μB/cell): 0.0
# Space group: No. 166
# Total DFT energy (no corrections) (eV/atom): -2.07
data_Cs4H2Au
_chemical_formula_sum 'Cs4 H2 Au1'
_cell_length_a 4.7603
_cell_length_b 4.7603
_cell_length_c 16.7774
_cell_angle_alpha 81.84
_cell_angle_beta 81.84
_cell_angle_gamma 60.00
_symmetry_space_group_name_H-M 'P 1'
_symmetry_Int_Tables_number 1
_symmetry_space_group_name_Hall 'P 1'
loop_
_atom_site_label
_atom_site_fract_x
_atom_site_fract_y
_atom_site_fract_z
_atom_site_occupancy
Cs1 0.8817 0.8817 0.3548 1
H1 0.5825 0.5825 0.2526 1
Au1 0.0000 0.0000 0.0000 1
Cs2 0.7133 0.7133 0.8600 1
H2 0.4175 0.4175 0.7474 1
Cs3 0.1183 0.1183 0.6452 1
Cs4 0.2867 0.2867 0.1400 1


# Tl2SbPb (PBE, optimized geometry)
# Energy relative to the lowest polymorph listed for this composition (meV per atom): 19
# Total magnetic moment (μB/cell): 0.0
# Formation energy (no corrections) (eV/atom): 0.02
# Space group: No. 6
# Total DFT energy (no corrections) (eV/atom): -3.12
data_Tl2SbPb
_chemical_formula_sum 'Tl2 Sb1 Pb1'
_cell_length_a 5.5150
_cell_length_b 3.4190
_cell_length_c 6.5960
_cell_angle_alpha 84.23
_cell_angle_beta 90.00
_cell_angle_gamma 90.00
_symmetry_space_group_name_H-M 'P 1'
_symmetry_Int_Tables_number 1
_symmetry_space_group_name_Hall 'P 1'
loop_
_atom_site_label
_atom_site_fract_x
_atom_site_fract_y
_atom_site_fract_z
_atom_site_occupancy
Tl1 0.5000 0.2523 0.2684 1
Pb1 0.0000 0.6822 0.4958 1
Tl2 0.0000 0.9944 0.9748 1
Sb1 0.5000 0.5711 0.7610 1


# CrOs3 (PBE, optimized geometry)
# Total magnetic moment (μB/cell): 0.0
# ΔH_f (0 K) (eV/atom): 0.4797
# Space group: No. 223
# Total DFT energy (no corrections) (eV/atom): -10.35
data_CrOs3
_chemical_formula_sum 'Cr2 Os6'
_cell_length_a 4.8410
_cell_length_b 4.8410
_cell_length_c 4.8410
_cell_angle_alpha 90.00
_cell_angle_beta 90.00
_cell_angle_gamma 90.00
_symmetry_space_group_name_H-M 'P 1'
_symmetry_Int_Tables_number 1
_symmetry_space_group_name_Hall 'P 1'
loop_
_atom_site_label
_atom_site_fract_x
_atom_site_fract_y
_atom_site_fract_z
_atom_site_occupancy
Os1 0.0000 0.2500 0.5000 1
Cr1 0.0000 0.0000 0.0000 1
Os2 0.2500 0.5000 0.0000 1
Os3 0.7500 0.5000 0.0000 1
Os4 0.0000 0.7500 0.5000 1
Cr2 0.5000 0.5000 0.5000 1
Os5 0.5000 0.0000 0.7500 1
Os6 0.5000 0.0000 0.2500 1


# Mg14FeW (PBE, optimized geometry)
# Energy relative to the lowest polymorph listed for this composition (meV per atom): 0
# Total magnetic moment (μB/cell): 1.9
# ΔH_f (0 K) (eV/atom): 0.1872
# Space group: No. 38
# Total DFT energy (no corrections) (eV/atom): -2.55
data_Mg14FeW
_chemical_formula_sum 'Mg14 Fe1 W1'
_cell_length_a 6.2104
_cell_length_b 6.2104
_cell_length_c 9.9425
_cell_angle_alpha 90.00
_cell_angle_beta 90.00
_cell_angle_gamma 120.82
_symmetry_space_group_name_H-M 'P 1'
_symmetry_Int_Tables_number 1
_symmetry_space_group_name_Hall 'P 1'
loop_
_atom_site_label
_atom_site_fract_x
_atom_site_fract_y
_atom_site_fract_z
_atom_site_occupancy
Mg1 0.3324 0.1682 0.0000 1
Fe1 0.8284 0.1716 0.5000 1
Mg2 0.8350 0.6682 0.5000 1
Mg3 0.3341 0.6659 0.0000 1
Mg4 0.1634 0.3386 0.2699 1
Mg5 0.1737 0.8263 0.2578 1
Mg6 0.8318 0.6676 0.0000 1
Mg7 0.8340 0.1660 0.0000 1
Mg8 0.1737 0.8263 0.7422 1
Mg9 0.6741 0.3259 0.2612 1
W1 0.3272 0.6728 0.5000 1
Mg10 0.6614 0.8366 0.7301 1
Mg11 0.3318 0.1650 0.5000 1
Mg12 0.6614 0.8366 0.2699 1
Mg13 0.1634 0.3386 0.7301 1
Mg14 0.6741 0.3259 0.7388 1


# PuNpFe2 (PBE, optimized geometry)
# Total magnetic moment (μB/cell): 1.1
# ΔH_f (0 K) (eV/atom): 0.3433
# Space group: No. 225
# Total DFT energy (no corrections) (eV/atom): -10.71
data_PuNpFe2
_chemical_formula_sum 'Pu1 Np1 Fe2'
_cell_length_a 4.5560
_cell_length_b 4.5560
_cell_length_c 4.5560
_cell_angle_alpha 60.00
_cell_angle_beta 60.00
_cell_angle_gamma 60.00
_symmetry_space_group_name_H-M 'P 1'
_symmetry_Int_Tables_number 1
_symmetry_space_group_name_Hall 'P 1'
loop_
_atom_site_label
_atom_site_fract_x
_atom_site_fract_y
_atom_site_fract_z
_atom_site_occupancy
Fe1 0.7500 0.7500 0.7500 1
Pu1 0.5000 0.5000 0.5000 1
Fe2 0.2500 0.2500 0.2500 1
Np1 0.0000 0.0000 0.0000 1


# CsInSi (PBE, optimized geometry)
# Total magnetic moment (μB/cell): 0.0
# Formation energy (no corrections) (eV/atom): 0.00
# Space group: No. 12
# Total DFT energy (no corrections) (eV/atom): -3.00
data_CsInSi
_chemical_formula_sum 'Cs4 In4 Si4'
_cell_length_a 9.2305
_cell_length_b 4.5552
_cell_length_c 11.8047
_cell_angle_alpha 90.00
_cell_angle_beta 121.93
_cell_angle_gamma 90.00
_symmetry_space_group_name_H-M 'P 1'
_symmetry_Int_Tables_number 1
_symmetry_space_group_name_Hall 'P 1'
loop_
_atom_site_label
_atom_site_fract_x
_atom_site_fract_y
_atom_site_fract_z
_atom_site_occupancy
In1 0.8402 0.5000 0.7280 1
Si1 0.9620 0.5000 0.3877 1
Si2 0.0380 0.0000 0.1123 1
Si3 0.9620 0.0000 0.8877 1
Cs1 0.3493 0.5000 0.0710 1
Cs2 0.6507 0.0000 0.4290 1
Cs3 0.3493 0.0000 0.5710 1
In2 0.1598 0.5000 0.2720 1
Cs4 0.6507 0.5000 0.9290 1
Si4 0.0380 0.5000 0.6123 1
In3 0.8402 0.0000 0.2280 1
In4 0.1598 0.0000 0.7720 1


# RuC3 (PBE, optimized geometry)
# Energy relative to the lowest polymorph listed for this composition (meV per atom): 4
# Total magnetic moment (μB/cell): 0.0
# ΔH_f (0 K) (eV/atom): 0.9099
# Space group: No. 12
# Total DFT energy (no corrections) (eV/atom): -8.33
data_RuC3
_chemical_formula_sum 'Ru1 C3'
_cell_length_a 2.9337
_cell_length_b 2.9337
_cell_length_c 5.5431
_cell_angle_alpha 105.41
_cell_angle_beta 105.41
_cell_angle_gamma 59.64
_symmetry_space_group_name_H-M 'P 1'
_symmetry_Int_Tables_number 1
_symmetry_space_group_name_Hall 'P 1'
loop_
_atom_site_label
_atom_site_fract_x
_atom_site_fract_y
_atom_site_fract_z
_atom_site_occupancy
C1 0.4174 0.4174 0.2525 1
C2 0.5826 0.5826 0.7475 1
Ru1 0.0000 0.0000 0.0000 1
C3 0.5000 0.5000 0.5000 1


# Al6TlSe8 (PBE, optimized geometry)
# Total magnetic moment (μB/cell): 0.0
# Formation energy (no corrections) (eV/atom): -0.54
# Space group: No. 148
# Total DFT energy (no corrections) (eV/atom): -4.05
data_Al6TlSe8
_chemical_formula_sum 'Al6 Tl1 Se8'
_cell_length_a 7.0782
_cell_length_b 7.0782
_cell_length_c 7.0782
_cell_angle_alpha 90.05
_cell_angle_beta 90.05
_cell_angle_gamma 90.05
_symmetry_space_group_name_H-M 'P 1'
_symmetry_Int_Tables_number 1
_symmetry_space_group_name_Hall 'P 1'
loop_
_atom_site_label
_atom_site_fract_x
_atom_site_fract_y
_atom_site_fract_z
_atom_site_occupancy
Se1 0.1313 0.7257 0.3939 1
Al1 0.5656 0.2139 0.4011 1
Al2 0.5989 0.4344 0.7861 1
Se2 0.2524 0.2524 0.2524 1
Se3 0.3939 0.1313 0.7257 1
Se4 0.7257 0.3939 0.1313 1
Al3 0.4344 0.7861 0.5989 1
Se5 0.6061 0.8687 0.2743 1
Al4 0.2139 0.4011 0.5656 1
Se6 0.7476 0.7476 0.7476 1
Se7 0.8687 0.2743 0.6061 1
Se8 0.2743 0.6061 0.8687 1
Tl1 0.0000 0.0000 0.0000 1
Al5 0.7861 0.5989 0.4344 1
Al6 0.4011 0.5656 0.2139 1


# Na2LaTlS4 (PBE, optimized geometry)
# Total magnetic moment (μB/cell): 0.0
# Formation energy (no corrections) (eV/atom): -1.16
# Space group: No. 15
# Total DFT energy (no corrections) (eV/atom): -4.46
data_Na2LaTlS4
_chemical_formula_sum 'Na4 La2 Tl2 S8'
_cell_length_a 8.1975
_cell_length_b 8.1975
_cell_length_c 8.3731
_cell_angle_alpha 120.27
_cell_angle_beta 120.27
_cell_angle_gamma 91.06
_symmetry_space_group_name_H-M 'P 1'
_symmetry_Int_Tables_number 1
_symmetry_space_group_name_Hall 'P 1'
loop_
_atom_site_label
_atom_site_fract_x
_atom_site_fract_y
_atom_site_fract_z
_atom_site_occupancy
Na1 0.5000 0.0000 0.5000 1
S1 0.2388 0.2364 0.0135 1
La1 0.0000 0.5000 0.0000 1
Na2 0.0000 0.0000 0.5000 1
S2 0.7364 0.7388 0.5135 1
Na3 0.5000 0.0000 0.0000 1
Na4 0.5000 0.5000 0.0000 1
S3 0.2636 0.2612 0.4865 1
S4 0.7612 0.7636 0.9865 1
S5 0.2413 0.7470 0.4921 1
S6 0.2470 0.7413 0.9921 1
Tl1 0.0000 0.0000 0.0000 1
S7 0.7587 0.2530 0.5079 1
S8 0.7530 0.2587 0.0079 1
Tl2 0.5000 0.5000 0.5000 1
La2 0.0000 0.5000 0.5000 1